w) The following is a PBE calculation of a geometry-optimized PtPb3C structure, from Alexandria via LeMat-Bulk.

Summary:
Fermi-level density of states (states/eV/cell): 2.5

Lattice parameters (Å, degrees): 5.3821 5.3821 5.3821 90.00 90.00 90.00
Fractional coordinates of all 5 atoms:
Pt 0.0000 0.0000 0.0000
Pb 0.0000 0.0000 0.5000
Pb 0.0000 0.5000 0.0000
Pb 0.5000 0.0000 0.0000
C 0.5000 0.5000 0.5000

x) The following is a PBE calculation of a geometry-optimized PtPb3C structure, from Alexandria via LeMat-Bulk.

Summary:
Fermi-level density of states (states/eV/cell): 2.7

Lattice parameters (Å, degrees): 4.8847 4.8847 4.8847 90.00 90.00 90.00
Fractional coordinates of all 5 atoms:
Pt 0.0000 0.0000 0.0000
Pb 0.0000 0.5000 0.5000
Pb 0.5000 0.0000 0.5000
Pb 0.5000 0.5000 0.0000
C 0.5000 0.5000 0.5000

Most stable: x)

w) The following is a PBE calculation of a geometry-optimized Rb2PbC structure, from Alexandria via LeMat-Bulk.

Summary:
Fermi-level density of states (states/eV/cell): 10.2

Lattice parameters (Å, degrees): 8.1989 8.1989 8.1989 90.00 90.00 90.00
Fractional coordinates of all 16 atoms:
Rb 0.2500 0.2500 0.2500
Rb 0.2500 0.2500 0.7500
Rb 0.2500 0.7500 0.2500
Rb 0.2500 0.7500 0.7500
Rb 0.7500 0.2500 0.2500
Rb 0.7500 0.2500 0.7500
Rb 0.7500 0.7500 0.2500
Rb 0.7500 0.7500 0.7500
Pb 0.0000 0.0000 0.0000
Pb 0.0000 0.5000 0.5000
Pb 0.5000 0.0000 0.5000
Pb 0.5000 0.5000 0.0000
C 0.0000 0.0000 0.5000
C 0.0000 0.5000 0.0000
C 0.5000 0.0000 0.0000
C 0.5000 0.5000 0.5000

x) The following is a PBE calculation of a geometry-optimized Rb2PbC structure, from Alexandria via LeMat-Bulk.

Summary:
Fermi-level density of states (states/eV/cell): 8.0

Lattice parameters (Å, degrees): 12.7418 12.7418 4.6238 90.00 90.00 90.00
Fractional coordinates of all 16 atoms:
Rb 0.0465 0.7500 0.1250
Rb 0.2500 0.0465 0.8750
Rb 0.2500 0.4535 0.3750
Rb 0.4535 0.7500 0.6250
Rb 0.5465 0.2500 0.6250
Rb 0.7500 0.5465 0.3750
Rb 0.7500 0.9535 0.8750
Rb 0.9535 0.2500 0.1250
Pb 0.0000 0.0000 0.5000
Pb 0.0000 0.5000 0.7500
Pb 0.5000 0.0000 0.2500
Pb 0.5000 0.5000 0.0000
C 0.0000 0.0000 0.0000
C 0.0000 0.5000 0.2500
C 0.5000 0.0000 0.7500
C 0.5000 0.5000 0.5000

Most stable: x)

w) The following is a PBE calculation of a geometry-optimized Re3PbC structure, from Alexandria via LeMat-Bulk.

Summary:
Fermi-level density of states (states/eV/cell): 4.8

Lattice parameters (Å, degrees): 4.2113 4.2113 4.2113 90.00 90.00 90.00
Fractional coordinates of all 5 atoms:
Re 0.0000 0.0000 0.5000
Re 0.0000 0.5000 0.0000
Re 0.5000 0.0000 0.0000
Pb 0.5000 0.5000 0.5000
C 0.0000 0.0000 0.0000

x) The following is a PBE calculation of a geometry-optimized Re3PbC structure, from Alexandria via LeMat-Bulk.

Summary:
Fermi-level density of states (states/eV/cell): 10.9

Lattice parameters (Å, degrees): 4.9627 4.9627 4.9627 90.00 90.00 90.00
Fractional coordinates of all 5 atoms:
Re 0.0000 0.0000 0.5000
Re 0.0000 0.5000 0.0000
Re 0.5000 0.0000 0.0000
Pb 0.0000 0.0000 0.0000
C 0.5000 0.5000 0.5000

Most stable: w)

w) The following is a PBE calculation of a geometry-optimized Re2PbC structure, from Alexandria via LeMat-Bulk.

Summary:
Fermi-level density of states (states/eV/cell): 13.6

Lattice parameters (Å, degrees): 6.2300 6.2300 6.2300 90.00 90.00 90.00
Fractional coordinates of all 16 atoms:
Re 0.2500 0.2500 0.2500
Re 0.2500 0.2500 0.7500
Re 0.2500 0.7500 0.2500
Re 0.2500 0.7500 0.7500
Re 0.7500 0.2500 0.2500
Re 0.7500 0.2500 0.7500
Re 0.7500 0.7500 0.2500
Re 0.7500 0.7500 0.7500
Pb 0.0000 0.0000 0.0000
Pb 0.0000 0.5000 0.5000
Pb 0.5000 0.0000 0.5000
Pb 0.5000 0.5000 0.0000
C 0.0000 0.0000 0.5000
C 0.0000 0.5000 0.0000
C 0.5000 0.0000 0.0000
C 0.5000 0.5000 0.5000

x) The following is a PBE calculation of a geometry-optimized Re2PbC structure, from Alexandria via LeMat-Bulk.

Summary:
Fermi-level density of states (states/eV/cell): 12.4

Lattice parameters (Å, degrees): 4.9313 4.9313 12.5619 90.00 90.00 90.00
Fractional coordinates of all 16 atoms:
Re 0.0796 0.2500 0.1250
Re 0.2500 0.5796 0.3750
Re 0.2500 0.9204 0.8750
Re 0.4204 0.2500 0.6250
Re 0.5796 0.7500 0.6250
Re 0.7500 0.0796 0.8750
Re 0.7500 0.4204 0.3750
Re 0.9204 0.7500 0.1250
Pb 0.0000 0.0000 0.5000
Pb 0.0000 0.5000 0.7500
Pb 0.5000 0.0000 0.2500
Pb 0.5000 0.5000 0.0000
C 0.0000 0.0000 0.0000
C 0.0000 0.5000 0.2500
C 0.5000 0.0000 0.7500
C 0.5000 0.5000 0.5000

Most stable: x)

w) The following is a PBE calculation of a geometry-optimized RhPb3C structure, from Alexandria via LeMat-Bulk.

Summary:
Fermi-level density of states (states/eV/cell): 2.6

Lattice parameters (Å, degrees): 5.2484 5.2484 5.2484 90.00 90.00 90.00
Fractional coordinates of all 5 atoms:
Rh 0.0000 0.0000 0.0000
Pb 0.0000 0.0000 0.5000
Pb 0.0000 0.5000 0.0000
Pb 0.5000 0.0000 0.0000
C 0.5000 0.5000 0.5000

x) The following is a PBE calculation of a geometry-optimized RhPb3C structure, from Alexandria via LeMat-Bulk.

Summary:
Fermi-level density of states (states/eV/cell): 3.3

Lattice parameters (Å, degrees): 4.8561 4.8561 4.8561 90.00 90.00 90.00
Fractional coordinates of all 5 atoms:
Rh 0.0000 0.0000 0.0000
Pb 0.0000 0.5000 0.5000
Pb 0.5000 0.0000 0.5000
Pb 0.5000 0.5000 0.0000
C 0.5000 0.5000 0.5000

Most stable: x)

w) The following is a PBE calculation of a geometry-optimized RhPbC3 structure, from Alexandria via LeMat-Bulk.

Summary:
Fermi-level density of states (states/eV/cell): 4.0

Lattice parameters (Å, degrees): 4.1036 4.1036 4.1036 90.00 90.00 90.00
Fractional coordinates of all 5 atoms:
Rh 0.0000 0.0000 0.0000
Pb 0.5000 0.5000 0.5000
C 0.0000 0.0000 0.5000
C 0.0000 0.5000 0.0000
C 0.5000 0.0000 0.0000

x) The following is a PBE calculation of a geometry-optimized RhPbC3 structure, from Alexandria via LeMat-Bulk.

Summary:
Fermi-level density of states (states/eV/cell): 5.1

Lattice parameters (Å, degrees): 4.3594 4.3594 4.3594 90.00 90.00 90.00
Fractional coordinates of all 5 atoms:
Rh 0.0000 0.0000 0.0000
Pb 0.5000 0.5000 0.5000
C 0.0000 0.5000 0.5000
C 0.5000 0.0000 0.5000
C 0.5000 0.5000 0.0000

Most stable: w)